Here is a relaxed TlSbTe2H crystal from Alexandria via LeMat-Bulk. Energies are from GGA-PBE.

Geometry as POSCAR:
```
TlSbTe2H
1.0
6.106 0.000 0.000
0.000 6.106 0.000
0.000 0.000 3.569
Tl Sb Te H
1 1 2 1
Cartesian
0.000 0.000 0.000
3.053 3.053 0.000
0.000 3.053 1.785
3.053 0.000 1.785
3.053 3.053 1.785
```

Results
**M_tot**: 0.0 μB per formula unit
**Mass density**: 7.266 g cm⁻³
**Offset from the most stable computed form**: 0.000 kcal/mol of atoms
**Raw total energy**: -2.939 eV/atom
**Density of states at the Fermi level**: 1.63 states/eV/cell
**Space group**: P4/mmm (123)


Here is a relaxed TlSb2TeH crystal from Alexandria via LeMat-Bulk. Energies are from GGA-PBE.

Geometry as POSCAR:
```
TlSb2TeH
1.0
4.650 0.000 0.000
0.000 4.650 0.000
0.000 0.000 5.641
Tl Sb Te H
1 2 1 1
Cartesian
0.000 0.000 0.000
0.000 2.325 2.821
2.325 0.000 2.821
2.325 2.325 0.000
2.325 2.325 2.821
```

Results
**M_tot**: 0.0 μB per formula unit
**Mass density**: 7.848 g cm⁻³
**Offset from the most stable computed form**: 0.000 kcal/mol of atoms
**Raw total energy**: -3.063 eV/atom
**Density of states at the Fermi level**: 2.66 states/eV/cell
**Space group**: P4/mmm (123)


Here is a relaxed TlSbTe2H crystal from Alexandria via LeMat-Bulk. Energies are from GGA-PBE.

Geometry as POSCAR:
```
TlSbTe2H
1.0
5.900 0.000 0.000
0.000 5.900 0.000
0.000 0.000 5.820
Tl Sb Te H
1 1 2 1
Cartesian
0.000 0.000 0.000
0.000 0.000 2.910
0.000 2.950 0.000
2.950 0.000 0.000
2.950 2.950 2.910
```

Results
**M_tot**: 1.9 μB per formula unit
**Mass density**: 4.773 g cm⁻³
**Offset from the most stable computed form**: 19.370 kcal/mol of atoms
**Raw total energy**: -2.099 eV/atom
**Density of states at the Fermi level**: 7.12 states/eV/cell
**Space group**: P4/mmm (123)


Here is a relaxed U2SbTeH2 crystal from Alexandria via LeMat-Bulk. Energies are from GGA-PBE.

Geometry as POSCAR:
```
U2SbTeH2
1.0
3.968 0.000 0.000
-1.984 3.436 0.000
0.000 0.000 8.516
U Sb Te H
2 1 1 2
Cartesian
0.000 2.291 2.168
1.984 1.145 6.348
0.000 0.000 4.258
0.000 0.000 0.000
0.000 2.291 6.388
1.984 1.145 2.128
```

Results
**M_tot**: 5.0 μB per formula unit
**Mass density**: 10.404 g cm⁻³
**Raw total energy**: -6.535 eV/atom
**Density of states at the Fermi level**: 9.04 states/eV/cell
**Space group**: P-3m1 (164)